Computed, not measured: an optimized crystal structure of BaLiZnGa at the PBE level of DFT.

Geometry as POSCAR:
```
BaLiZnGa
1.0
0.0000 3.6388 3.6388
3.6388 0.0000 3.6388
3.6388 3.6388 0.0000
Ba Li Zn Ga
1 1 1 1
Cartesian
0.0000 0.0000 0.0000 Ba
5.4582 5.4582 5.4582 Li
1.8194 1.8194 1.8194 Zn
3.6388 3.6388 3.6388 Ga
```

Properties
Volume ... 96.4 Å³ per cell
Energy above the lowest structure with this stoichiometry ... 136.5 meV/atom
Final energy ... -8.7 eV per formula unit
Total moment ... 0.000 μB/cell
Energy relative to the elements ... -0.133 eV per atom